No. 1
## CaW (PBE)

Data for a relaxed structure of CaW.

The structure belongs to space group Fd-3m (No. 227, origin choice 2); the cell edges are 6.904, 6.904 and 6.904 Å and the angles 90.00°, 90.00° and 90.00°. The inequivalent atoms are Ca at (0.125, 0.125, 0.125) and W at (0.125, 0.125, 0.625).

The value obtained for the offset from the most stable computed form is 0.454 eV per atom. The value obtained for the calculated density is 9.04 Mg/m³.


No. 2
## Ca2W (PBE)

Data for a relaxed structure of Ca2W.

The structure belongs to space group C2/m (No. 12); the cell edges are 15.979, 3.234 and 6.991 Å and the angles 90.00°, 106.69° and 90.00°. The inequivalent atoms are Ca at (0.112, 0.000, 0.071), Ca at (0.161, 0.000, 0.613) and W at (0.002, 0.500, 0.332).

The value obtained for the offset from the most stable computed form is 0.189 eV per atom. The value obtained for the calculated density is 5.07 Mg/m³.


No. 3
## CaW (PBE)

Data for a relaxed structure of CaW.

The structure belongs to space group R-3m (No. 166, hexagonal axes); the cell edges are 3.3343, 3.3343 and 31.1384 Å and the angles 90.00°, 90.00° and 120.00°. The inequivalent atoms are Ca at (0.0000, 0.0000, 0.1118) and W at (0.0000, 0.0000, 0.3600).

The value obtained for the offset from the most stable computed form is 0.249 eV per atom. The value obtained for the calculated density is 7.44 Mg/m³.


No. 4
## CaW (PBE)

Data for a relaxed structure of CaW.

The structure belongs to space group P4/mmm (No. 123); the cell edges are 11.127, 11.127 and 3.145 Å and the angles 90.00°, 90.00° and 90.00°. The inequivalent atoms are Ca at (0.000, 0.268, 0.000), Ca at (0.272, 0.272, 0.500), W at (0.118, 0.500, 0.500) and W at (0.333, 0.500, 0.000).

The value obtained for the offset from the most stable computed form is 0.390 eV per atom. The value obtained for the calculated density is 7.64 Mg/m³.


No. 5
## CaW2 (PBE)

Data for a relaxed structure of CaW2.

The structure belongs to space group P4/mmm (No. 123); the cell edges are 5.378, 5.378 and 2.521 Å and the angles 90.00°, 90.00° and 90.00°. The inequivalent atoms are Ca at (0.000, 0.000, 0.000) and W at (0.000, 0.500, 0.500).

The value obtained for the calculated density is 9.29 Mg/m³.


No. 6
## CaW3 (PBE)

Data for a relaxed structure of CaW3.

The structure belongs to space group Cmcm (No. 63); the cell edges are 7.586, 9.324 and 4.491 Å and the angles 90.00°, 90.00° and 90.00°. The inequivalent atoms are Ca at (0.000, 0.076, 0.250), W at (0.000, 0.409, 0.250) and W at (0.162, 0.292, 0.750).

The value obtained for the offset from the most stable computed form is 0.396 eV per atom. The value obtained for the calculated density is 12.37 Mg/m³.


No. 7
## Ca2W (PBE)

Data for a relaxed structure of Ca2W.

The structure belongs to space group Cm (No. 8); the cell edges are 12.414, 3.661 and 8.293 Å and the angles 90.00°, 110.58° and 90.00°. The inequivalent atoms are Ca at (0.000, 0.000, 0.000), Ca at (0.002, 0.000, 0.500), Ca at (0.199, 0.500, 0.801), Ca at (0.301, 0.000, 0.201), W at (0.195, 0.500, 0.412) and W at (0.310, 0.000, 0.596).

The value obtained for the offset from the most stable computed form is 0.095 eV per atom. The value obtained for the calculated density is 4.97 Mg/m³.


No. 8
## CaW (PBE)

Data for a relaxed structure of CaW.

The structure belongs to space group C2/m (No. 12); the cell edges are 9.288, 2.856 and 6.818 Å and the angles 90.00°, 91.09° and 90.00°. The inequivalent atoms are Ca at (0.120, 0.000, 0.336) and W at (0.125, 0.500, 0.922).

The value obtained for the offset from the most stable computed form is 0.323 eV per atom. The value obtained for the calculated density is 8.22 Mg/m³.


No. 9
## CaW (PBE)

Data for a relaxed structure of CaW.

The structure belongs to space group Pm-3n (No. 223); the cell edges are 8.823, 8.823 and 8.823 Å and the angles 90.00°, 90.00° and 90.00°. The inequivalent atoms are Ca at (0.000, 0.250, 0.500) and W at (0.000, 0.500, 0.250).

The value obtained for the offset from the most stable computed form is 2.771 eV per atom. The value obtained for the calculated density is 3.25 Mg/m³.


No. 10
## CaW3 (PBE)

Data for a relaxed structure of CaW3.

The structure belongs to space group P4/mmm (No. 123); the cell edges are 2.701, 2.701 and 10.071 Å and the angles 90.00°, 90.00° and 90.00°. The inequivalent atoms are Ca at (0.000, 0.000, 0.000), W at (0.000, 0.000, 0.500) and W at (0.500, 0.500, 0.271).

The value obtained for the offset from the most stable computed form is 0.212 eV per atom. The value obtained for the calculated density is 13.37 Mg/m³.


No. 11
## CaW2 (PBE)

Data for a relaxed structure of CaW2.

The structure belongs to space group P-3m1 (No. 164); the cell edges are 4.8141, 4.8141 and 2.7870 Å and the angles 90.00°, 90.00° and 120.00°. The inequivalent atoms are Ca at (0.0000, 0.0000, 0.0000) and W at (0.3333, 0.6667, 0.3762).

The value obtained for the calculated density is 12.10 Mg/m³.


No. 12
## CaW3 (PBE)

Data for a relaxed structure of CaW3.

The structure belongs to space group Pm-3m (No. 221); the cell edges are 4.186, 4.186 and 4.186 Å and the angles 90.00°, 90.00° and 90.00°. The inequivalent atoms are Ca at (0.000, 0.000, 0.000) and W at (0.000, 0.500, 0.500).

The value obtained for the offset from the most stable computed form is 0.645 eV per atom. The value obtained for the calculated density is 13.39 Mg/m³.


No. 13
## CaW (PBE)

Data for a relaxed structure of CaW.

The structure belongs to space group P6_3/mmc (No. 194); the cell edges are 5.3679, 5.3679 and 4.6951 Å and the angles 90.00°, 90.00° and 120.00°. The inequivalent atoms are Ca at (0.3333, 0.6667, 0.2500) and W at (0.0000, 0.0000, 0.0000).

The value obtained for the offset from the most stable computed form is 0.721 eV per atom. The value obtained for the calculated density is 6.35 Mg/m³.


No. 14
## CaW (PBE)

Data for a relaxed structure of CaW.

The structure belongs to space group P6_3/m (No. 176); the cell edges are 11.3296, 11.3296 and 3.1191 Å and the angles 90.00°, 90.00° and 120.00°. The inequivalent atoms are Ca at (0.0986, 0.3255, 0.2500) and W at (0.0891, 0.5791, 0.2500).

The value obtained for the offset from the most stable computed form is 0.685 eV per atom. The value obtained for the calculated density is 6.43 Mg/m³.


No. 15
## Ca2W (PBE)

Data for a relaxed structure of Ca2W.

The structure belongs to space group C2/m (No. 12); the cell edges are 11.979, 3.588 and 8.638 Å and the angles 90.00°, 109.14° and 90.00°. The inequivalent atoms are Ca at (0.015, 0.000, 0.198), Ca at (0.173, 0.500, 0.636) and W at (0.197, 0.500, 0.045).

The value obtained for the offset from the most stable computed form is 0.000 eV per atom. The value obtained for the calculated density is 5.00 Mg/m³.


No. 16
## CaW3 (PBE)

Data for a relaxed structure of CaW3.

The structure belongs to space group Pm-3n (No. 223); the cell edges are 5.249, 5.249 and 5.249 Å and the angles 90.00°, 90.00° and 90.00°. The inequivalent atoms are Ca at (0.000, 0.000, 0.000) and W at (0.000, 0.250, 0.500).

The value obtained for the offset from the most stable computed form is 0.496 eV per atom. The value obtained for the calculated density is 13.59 Mg/m³.


No. 17
## CaW (PBE)

Data for a relaxed structure of CaW.

The structure belongs to space group P4_2/mnm (No. 136); the cell edges are 6.130, 6.130 and 6.127 Å and the angles 90.00°, 90.00° and 90.00°. The inequivalent atoms are Ca at (0.178, 0.178, 0.000) and W at (0.129, 0.129, 0.500).

The value obtained for the offset from the most stable computed form is 1.151 eV per atom. The value obtained for the calculated density is 6.46 Mg/m³.


No. 18
## CaW2 (PBE)

Data for a relaxed structure of CaW2.

The structure belongs to space group C2/m (No. 12); the cell edges are 13.524, 3.318 and 6.057 Å and the angles 90.00°, 108.99° and 90.00°. The inequivalent atoms are Ca at (0.027, 0.000, 0.279), W at (0.170, 0.500, 0.052) and W at (0.219, 0.500, 0.658).

The value obtained for the calculated density is 10.54 Mg/m³.


No. 19
## CaW (PBE)

Data for a relaxed structure of CaW.

The structure belongs to space group P-3m1 (No. 164); the cell edges are 3.3624, 3.3624 and 10.4249 Å and the angles 90.00°, 90.00° and 120.00°. The inequivalent atoms are Ca at (0.3333, 0.6667, 0.1646) and W at (0.3333, 0.6667, 0.5779).

The value obtained for the offset from the most stable computed form is 0.262 eV per atom. The value obtained for the calculated density is 7.29 Mg/m³.


No. 20
## CaW3 (PBE)

Data for a relaxed structure of CaW3.

The structure belongs to space group P4/mmm (No. 123); the cell edges are 4.818, 4.818 and 3.067 Å and the angles 90.00°, 90.00° and 90.00°. The inequivalent atoms are Ca at (0.000, 0.000, 0.000), W at (0.000, 0.500, 0.500) and W at (0.500, 0.500, 0.000).

The value obtained for the offset from the most stable computed form is 0.440 eV per atom. The value obtained for the calculated density is 13.80 Mg/m³.


No. 21
## CaW (PBE)

Data for a relaxed structure of CaW.

The structure belongs to space group I-43m (No. 217); the cell edges are 9.396, 9.396 and 9.396 Å and the angles 90.00°, 90.00° and 90.00°. The inequivalent atoms are Ca at (0.210, 0.210, 0.210) and W at (0.093, 0.093, 0.907).

The value obtained for the offset from the most stable computed form is 1.125 eV per atom. The value obtained for the calculated density is 3.59 Mg/m³.


No. 22
## CaW2 (PBE)

Data for a relaxed structure of CaW2.

The structure belongs to space group C2/m (No. 12); the cell edges are 11.610, 2.706 and 8.320 Å and the angles 90.00°, 109.75° and 90.00°. The inequivalent atoms are Ca at (0.000, 0.000, 0.208), W at (0.168, 0.500, 0.565) and W at (0.226, 0.500, 0.130).

The value obtained for the calculated density is 11.01 Mg/m³.


No. 23
## CaW3 (PBE)

Data for a relaxed structure of CaW3.

The structure belongs to space group Cmmm (No. 65); the cell edges are 3.256, 4.577 and 9.768 Å and the angles 90.00°, 90.00° and 90.00°. The inequivalent atoms are Ca at (0.000, 0.000, 0.000), W at (0.000, 0.000, 0.500) and W at (0.000, 0.500, 0.277).

The value obtained for the offset from the most stable computed form is 0.000 eV per atom. The value obtained for the calculated density is 13.50 Mg/m³.


No. 24
## Ca2W (PBE)

Data for a relaxed structure of Ca2W.

The structure belongs to space group I4/mcm (No. 140); the cell edges are 8.203, 8.203 and 5.114 Å and the angles 90.00°, 90.00° and 90.00°. The inequivalent atoms are Ca at (0.163, 0.337, 0.000) and W at (0.000, 0.000, 0.250).

The value obtained for the offset from the most stable computed form is 0.201 eV per atom. The value obtained for the calculated density is 5.10 Mg/m³.


No. 25
## CaW3 (PBE)

Data for a relaxed structure of CaW3.

The structure belongs to space group Pmmm (No. 47); the cell edges are 2.669, 4.788 and 5.692 Å and the angles 90.00°, 90.00° and 90.00°. The inequivalent atoms are Ca at (0.000, 0.000, 0.000), W at (0.000, 0.000, 0.500) and W at (0.500, 0.500, 0.265).

The value obtained for the offset from the most stable computed form is 0.350 eV per atom. The value obtained for the calculated density is 13.50 Mg/m³.


No. 26
## CaW5 (PBE)

Data for a relaxed structure of CaW5.

The structure belongs to space group Amm2 (No. 38); the cell edges are 4.709, 2.674 and 17.212 Å and the angles 90.00°, 90.00° and 90.00°. The inequivalent atoms are Ca at (0.000, 0.000, 0.000), W at (0.000, 0.000, 0.328), W at (0.000, 0.000, 0.672), W at (0.500, 0.000, 0.241), W at (0.500, 0.000, 0.590) and W at (0.500, 0.000, 0.890).

The value obtained for the offset from the most stable computed form is 0.182 eV per atom. The value obtained for the calculated density is 14.70 Mg/m³.


No. 27
## CaW2 (PBE)

Data for a relaxed structure of CaW2.

The structure belongs to space group Pnnm (No. 58); the cell edges are 2.733, 8.238 and 5.071 Å and the angles 90.00°, 90.00° and 90.00°. The inequivalent atoms are Ca at (0.000, 0.000, 0.000) and W at (0.092, 0.346, 0.000).

The value obtained for the calculated density is 11.86 Mg/m³.


Energy of formation from the pure elements (eV per atom)
0.9424, 0.6729, 0.7377, 0.8788, 2.6005, 0.9504, 0.5787, 0.8117, 3.2594, 0.7661, 0.8382, 1.1993, 1.2099, 1.1731, 0.4842, 1.0502, 1.6397, 0.7395, 0.7510, 0.9939, 1.6131, 0.8767, 0.5540, 0.6851, 0.9043, 0.7388, 0.9192